Record 1
# ErAs3

ErAs3 after structural relaxation (PBE-GGA, Alexandria).

Values from the calculation:
SG: P6_3/mmc
Formation enthalpy at 0 K (kJ/mol of atoms): -46.00

Unit cell a=6.031 b=6.031 c=5.363 alpha=90.00 beta=90.00 gamma=120.00
Sites, in units of the cell vectors:
As 0.366 0.183 0.750
Er 0.333 0.667 0.750
As 0.634 0.817 0.250
As 0.183 0.366 0.250
As 0.817 0.183 0.750
As 0.817 0.634 0.750
As 0.183 0.817 0.250
Er 0.667 0.333 0.250

---

Record 2
# TlSn2TeRh

TlSn2TeRh after structural relaxation (PBE-GGA, Alexandria).

Values from the calculation:
SG: P4/mmm
Energy relative to the elements, uncorrected (eV/f.u.): -0.96

Unit cell a=5.165 b=5.165 c=5.300 alpha=90.00 beta=90.00 gamma=90.00
Sites, in units of the cell vectors:
Tl 0.000 0.000 0.500
Te 0.500 0.500 0.500
Sn 0.000 0.500 0.000
Sn 0.500 0.000 0.000
Rh 0.000 0.000 0.000

---

Record 3
# TbGdFe

TbGdFe after structural relaxation (PBE-GGA, Alexandria).

Values from the calculation:
SG: I4mm
Formation enthalpy at 0 K (kJ/mol of atoms): 6.11

Unit cell a=3.391 b=3.391 c=6.852 alpha=104.32 beta=104.32 gamma=90.00
Sites, in units of the cell vectors:
Gd 0.040 0.040 0.080
Fe 0.667 0.667 0.334
Tb 0.293 0.293 0.586

---

Record 4
# CePuHf2

CePuHf2 after structural relaxation (PBE-GGA, Alexandria).

Values from the calculation:
SG: Fm-3m
Energy above the most stable polymorph in this dataset (meV/atom): 162
Formation enthalpy at 0 K (kJ/mol of atoms): 27.93

Unit cell a=5.163 b=5.163 c=5.163 alpha=60.00 beta=60.00 gamma=60.00
Sites, in units of the cell vectors:
Hf 0.250 0.250 0.250
Pu 0.000 0.000 0.000
Ce 0.500 0.500 0.500
Hf 0.750 0.750 0.750

---

Record 5
# Ac2Ni4Sb3Pt

Ac2Ni4Sb3Pt after structural relaxation (PBE-GGA, Alexandria).

Values from the calculation:
SG: P-4m2
Energy relative to the elements, uncorrected (eV/f.u.): -6.40

Unit cell a=4.489 b=4.489 c=10.264 alpha=90.00 beta=90.00 gamma=90.00
Sites, in units of the cell vectors:
Pt 0.500 0.500 0.500
Ni 0.000 0.500 0.375
Ni 0.000 0.000 0.000
Ni 0.500 0.500 0.000
Sb 0.000 0.000 0.500
Ac 0.000 0.500 0.749
Sb 0.000 0.500 0.125
Ac 0.500 0.000 0.251
Sb 0.500 0.000 0.875
Ni 0.500 0.000 0.625

---

Record 6
# Li2Sn3S8

Li2Sn3S8 after structural relaxation (PBE-GGA, Alexandria).

Values from the calculation:
SG: C2/m
Energy relative to the elements, uncorrected (eV/f.u.): -5.32

Unit cell a=6.684 b=7.543 c=6.888 alpha=123.20 beta=100.26 gamma=90.00
Sites, in units of the cell vectors:
Li 0.418 0.298 0.596
Sn 0.000 0.253 0.000
Sn 0.000 0.747 0.000
S 0.360 0.360 0.250
Sn 0.500 0.000 0.000
Li 0.582 0.702 0.404
S 0.093 0.366 0.732
S 0.907 0.634 0.268
S 0.640 0.110 0.750
S 0.360 0.890 0.250
S 0.640 0.640 0.750
S 0.872 0.131 0.261
S 0.128 0.869 0.739

---

no.,mass density (g cm⁻³)
1,7.7
2,7.9
3,8.4
4,12.6
5,10.0
6,3.7